Material: TbSm6Cd
Method: DFT, PBE-GGA
State: optimized geometry

Cell lengths 6.407, 6.408, 6.411 Å; angles 94.76, 94.86, 94.81 degrees
Fractional positions:
Tb1 0.000 0.000 0.000
Sm1 0.050 0.543 0.259
Sm2 0.259 0.049 0.544
Sm3 0.457 0.741 0.950
Sm4 0.543 0.259 0.050
Sm5 0.741 0.951 0.456
Sm6 0.950 0.457 0.741
Cd1 0.500 0.500 0.500

Values from the calculation:
* ΔH_f (0 K): 0.039 eV per atom
* energy: -4.194 eV/atom
* polymorph energy (0 for the lowest one): 75 meV per atom